Ni2Hg2GeO6 | PBE with a Hubbard U | relaxed

Calculated total energy   -100.8 eV per cell
Crystal system   monoclinic
M_tot   4.0 μB per formula unit
Density   7.83 Mg/m³

abc: 5.281 9.268 5.962
angles: 90.00 92.22 90.00
Space group C2/m (No. 12)
Inequivalent atoms, fractional coordinates:
1 Ni 0.000 0.159 0.000 (multiplicity 4)
2 Hg 0.000 0.337 0.500 (multiplicity 4)
3 Ge 0.000 0.500 0.000 (multiplicity 2)
4 O 0.147 0.339 0.824 (multiplicity 8)
5 O 0.197 0.000 0.835 (multiplicity 4)